# CsBaGe2N | the Alexandria database | SCAN | PBEsol geometry
# Total magnetic moment ... 3.099 μB/cell
# Total energy ... -115.0 eV per formula unit
data_CsBaGe2N
_chemical_formula_sum 'Cs1 Ba1 Ge2 N1'
_space_group_name_H-M_alt 'P 4/m m m'
_space_group_IT_number 123
_space_group_name_Hall '-P 4 2'
_cell_length_a 5.652
_cell_length_b 5.652
_cell_length_c 6.438
_cell_angle_alpha 90.00
_cell_angle_beta 90.00
_cell_angle_gamma 90.00
loop_
_atom_site_label
_atom_site_type_symbol
_atom_site_fract_x
_atom_site_fract_y
_atom_site_fract_z
_atom_site_occupancy
Cs1 Cs 0.000 0.000 0.000 1
Ba1 Ba 0.000 0.000 0.500 1
Ge1 Ge 0.000 0.500 0.000 1
N1 N 0.500 0.500 0.500 1


# Ga2HgBi2 | the Alexandria database | SCAN | PBEsol geometry
# Energy relative to the lowest polymorph listed for this composition ... 6.92 kJ/mol of atoms
# ΔE_f ... 0.1758 eV per atom
# Total magnetic moment ... 0.000 μB/cell
# Total energy ... -257.1 eV per formula unit
data_Ga2HgBi2
_chemical_formula_sum 'Ga4 Hg2 Bi4'
_space_group_name_H-M_alt 'P 4/m b m'
_space_group_IT_number 127
_space_group_name_Hall '-P 4 2ab'
_cell_length_a 8.636
_cell_length_b 8.636
_cell_length_c 3.444
_cell_angle_alpha 90.00
_cell_angle_beta 90.00
_cell_angle_gamma 90.00
loop_
_atom_site_label
_atom_site_type_symbol
_atom_site_fract_x
_atom_site_fract_y
_atom_site_fract_z
_atom_site_occupancy
Ga1 Ga 0.137 0.363 0.000 1
Hg1 Hg 0.000 0.000 0.500 1
Bi1 Bi 0.160 0.660 0.500 1


# LiCu2Ni | the Alexandria database | SCAN | PBEsol geometry
# Energy relative to the lowest polymorph listed for this composition ... 1.82 kJ/mol of atoms
# ΔE_f ... 0.0156 eV per atom
# Total magnetic moment ... 1.208 μB/cell
# Total energy ... -48.9 eV per formula unit
data_LiCu2Ni
_chemical_formula_sum 'Li3 Cu6 Ni3'
_space_group_name_H-M_alt 'R -3 m'
_space_group_IT_number 166
_space_group_name_Hall '-R 3 2"'
_cell_length_a 2.4923
_cell_length_b 2.4923
_cell_length_c 25.0841
_cell_angle_alpha 90.00
_cell_angle_beta 90.00
_cell_angle_gamma 120.00
loop_
_atom_site_label
_atom_site_type_symbol
_atom_site_fract_x
_atom_site_fract_y
_atom_site_fract_z
_atom_site_occupancy
Li1 Li 0.0000 0.0000 0.0000 1
Cu1 Cu 0.0000 0.0000 0.2476 1
Ni1 Ni 0.0000 0.0000 0.5000 1


# Y2ZrHg | the Alexandria database | SCAN | PBEsol geometry
# ΔE_f ... -0.1901 eV per atom
# Total magnetic moment ... 3.490 μB/cell
# Total energy ... -155.3 eV per formula unit
data_Y2ZrHg
_chemical_formula_sum 'Y4 Zr2 Hg2'
_space_group_name_H-M_alt 'I -4 m 2'
_space_group_IT_number 119
_space_group_name_Hall 'I -4 -2'
_cell_length_a 4.478
_cell_length_b 4.478
_cell_length_c 9.686
_cell_angle_alpha 90.00
_cell_angle_beta 90.00
_cell_angle_gamma 90.00
loop_
_atom_site_label
_atom_site_type_symbol
_atom_site_fract_x
_atom_site_fract_y
_atom_site_fract_z
_atom_site_occupancy
Y1 Y 0.000 0.000 0.000 1
Y2 Y 0.000 0.500 0.250 1
Zr1 Zr 0.000 0.000 0.500 1
Hg1 Hg 0.000 0.500 0.750 1


- What is the total energy in the fourth record?
  -155.3 eV per formula unit